1.
# SrMoW (PBE, optimized geometry)
data_SrMoW
_space_group_name_H-M_alt 'I 4 m m'
_space_group_IT_number 107
_space_group_name_Hall 'I 4 -2'
_cell_length_a 3.348
_cell_length_b 3.348
_cell_length_c 12.317
_cell_angle_alpha 90.00
_cell_angle_beta 90.00
_cell_angle_gamma 90.00
loop_
_atom_site_label
_atom_site_type_symbol
_atom_site_fract_x
_atom_site_fract_y
_atom_site_fract_z
Sr1 Sr 0.000 0.000 0.000
Mo1 Mo 0.000 0.000 0.706
W1 W 0.000 0.000 0.294
# Uncorrected energy ... -7.74 eV per atom
# E_form ... 72.0 kJ/mol of atoms

---

2.
# CaAgOF2 (PBE, optimized geometry)
data_CaAgOF2
_space_group_name_H-M_alt 'P 4/m m m'
_space_group_IT_number 123
_space_group_name_Hall '-P 4 2'
_cell_length_a 4.329
_cell_length_b 4.329
_cell_length_c 4.196
_cell_angle_alpha 90.00
_cell_angle_beta 90.00
_cell_angle_gamma 90.00
loop_
_atom_site_label
_atom_site_type_symbol
_atom_site_fract_x
_atom_site_fract_y
_atom_site_fract_z
Ca1 Ca 0.000 0.000 0.000
Ag1 Ag 0.500 0.500 0.500
O1 O 0.500 0.500 0.000
F1 F 0.000 0.500 0.500
# Uncorrected energy ... -4.37 eV per atom
# Uncorrected formation energy ... -1.6603 eV/atom

---

3.
# VAg2Ru (PBE, optimized geometry)
data_VAg2Ru
_space_group_name_H-M_alt 'C 1 m 1'
_space_group_IT_number 8
_cell_length_a 18.799
_cell_length_b 2.942
_cell_length_c 4.648
_cell_angle_alpha 90.00
_cell_angle_beta 100.05
_cell_angle_gamma 90.00
loop_
_space_group_symop_operation_xyz
'x,y,z'
'x,-y,z'
'x+1/2,y+1/2,z'
'x+1/2,-y+1/2,z'
loop_
_atom_site_label
_atom_site_type_symbol
_atom_site_fract_x
_atom_site_fract_y
_atom_site_fract_z
V1 V 0.000 0.000 0.000
V2 V 0.109 0.000 0.580
Ag1 Ag 0.237 0.500 0.514
Ag2 Ag 0.238 0.000 0.015
Ag3 Ag 0.371 0.000 0.750
Ag4 Ag 0.372 0.500 0.251
Ru1 Ru 0.004 0.500 0.501
Ru2 Ru 0.104 0.500 0.075
# Uncorrected energy ... -5.94 eV per atom
# E_form ... 8.4 kJ/mol of atoms

---

4.
# Ba2IrAu (PBE, optimized geometry)
data_Ba2IrAu
_space_group_name_H-M_alt 'P 4 m m'
_space_group_IT_number 99
_cell_length_a 4.647
_cell_length_b 4.647
_cell_length_c 6.444
_cell_angle_alpha 90.00
_cell_angle_beta 90.00
_cell_angle_gamma 90.00
loop_
_space_group_symop_operation_xyz
'x,y,z'
'-y,x,z'
'-x,-y,z'
'y,-x,z'
'-x,y,z'
'y,x,z'
'x,-y,z'
'-y,-x,z'
loop_
_atom_site_label
_atom_site_type_symbol
_atom_site_fract_x
_atom_site_fract_y
_atom_site_fract_z
Ba1 Ba 0.000 0.000 0.000
Ba2 Ba 0.500 0.500 0.500
Ir1 Ir 0.000 0.000 0.503
Au1 Au 0.500 0.500 0.000
# Uncorrected energy ... -4.10 eV per atom
# E_form ... -9.6 kJ/mol of atoms

---

5.
# AcCdRu2O8 (PBE, optimized geometry)
data_AcCdRu2O8
_space_group_name_H-M_alt 'P -3 m 1'
_space_group_IT_number 164
_space_group_name_Hall '-P 3 2"'
_cell_length_a 6.0835
_cell_length_b 6.0835
_cell_length_c 6.8918
_cell_angle_alpha 90.00
_cell_angle_beta 90.00
_cell_angle_gamma 120.00
loop_
_atom_site_label
_atom_site_type_symbol
_atom_site_fract_x
_atom_site_fract_y
_atom_site_fract_z
Ac1 Ac 0.0000 0.0000 0.0000
Cd1 Cd 0.0000 0.0000 0.5000
Ru1 Ru 0.3333 0.6667 0.3359
O1 O 0.1669 0.3339 0.2543
O2 O 0.3333 0.6667 0.5898
# Uncorrected energy ... -6.52 eV per atom
# Uncorrected formation energy ... -1.2461 eV/atom

---

6.
# BaInGa2Ag (PBE, optimized geometry)
data_BaInGa2Ag
_space_group_name_H-M_alt 'I m m 2'
_space_group_IT_number 44
_cell_length_a 4.674
_cell_length_b 4.682
_cell_length_c 11.647
_cell_angle_alpha 90.00
_cell_angle_beta 90.00
_cell_angle_gamma 90.00
loop_
_space_group_symop_operation_xyz
'x,y,z'
'-x,-y,z'
'-x,y,z'
'x,-y,z'
'x+1/2,y+1/2,z+1/2'
'-x+1/2,-y+1/2,z+1/2'
'-x+1/2,y+1/2,z+1/2'
'x+1/2,-y+1/2,z+1/2'
loop_
_atom_site_label
_atom_site_type_symbol
_atom_site_fract_x
_atom_site_fract_y
_atom_site_fract_z
Ba1 Ba 0.000 0.000 0.000
In1 In 0.000 0.500 0.754
Ga1 Ga 0.000 0.000 0.390
Ga2 Ga 0.000 0.500 0.253
Ag1 Ag 0.000 0.000 0.619
# Uncorrected energy ... -3.07 eV per atom
# E_form ... -34.2 kJ/mol of atoms

---

7.
# Dy2HoSi2 (PBE, optimized geometry)
data_Dy2HoSi2
_space_group_name_H-M_alt 'P 4/m b m'
_space_group_IT_number 127
_space_group_name_Hall '-P 4 2ab'
_cell_length_a 7.463
_cell_length_b 7.463
_cell_length_c 4.216
_cell_angle_alpha 90.00
_cell_angle_beta 90.00
_cell_angle_gamma 90.00
loop_
_atom_site_label
_atom_site_type_symbol
_atom_site_fract_x
_atom_site_fract_y
_atom_site_fract_z
Dy1 Dy 0.176 0.324 0.000
Ho1 Ho 0.000 0.000 0.500
Si1 Si 0.117 0.617 0.500
# Uncorrected energy ... -5.64 eV per atom
# Uncorrected formation energy ... -0.7096 eV/atom

---

8.
# Li2EuAg (PBE, optimized geometry)
data_Li2EuAg
_space_group_name_H-M_alt 'P 4/m m m'
_space_group_IT_number 123
_space_group_name_Hall '-P 4 2'
_cell_length_a 4.385
_cell_length_b 4.385
_cell_length_c 5.198
_cell_angle_alpha 90.00
_cell_angle_beta 90.00
_cell_angle_gamma 90.00
loop_
_atom_site_label
_atom_site_type_symbol
_atom_site_fract_x
_atom_site_fract_y
_atom_site_fract_z
Li1 Li 0.000 0.500 0.000
Eu1 Eu 0.000 0.000 0.500
Ag1 Ag 0.500 0.500 0.500
# Uncorrected energy ... -4.27 eV per atom
# E_form ... -2.6 kJ/mol of atoms

---

9.
# NaCo3Pd (PBE, optimized geometry)
data_NaCo3Pd
_space_group_name_H-M_alt 'P m -3 m'
_space_group_IT_number 221
_space_group_name_Hall '-P 4 2 3'
_cell_length_a 4.683
_cell_length_b 4.683
_cell_length_c 4.683
_cell_angle_alpha 90.00
_cell_angle_beta 90.00
_cell_angle_gamma 90.00
loop_
_atom_site_label
_atom_site_type_symbol
_atom_site_fract_x
_atom_site_fract_y
_atom_site_fract_z
Na1 Na 0.000 0.000 0.000
Co1 Co 0.000 0.500 0.500
Pd1 Pd 0.500 0.500 0.500
# Uncorrected energy ... -4.41 eV per atom
# E_form ... 111.2 kJ/mol of atoms

---

10.
# PrYFe (PBE, optimized geometry)
data_PrYFe
_space_group_name_H-M_alt 'I 4 m m'
_space_group_IT_number 107
_space_group_name_Hall 'I 4 -2'
_cell_length_a 3.469
_cell_length_b 3.469
_cell_length_c 13.033
_cell_angle_alpha 90.00
_cell_angle_beta 90.00
_cell_angle_gamma 90.00
loop_
_atom_site_label
_atom_site_type_symbol
_atom_site_fract_x
_atom_site_fract_y
_atom_site_fract_z
Pr1 Pr 0.000 0.000 0.000
Y1 Y 0.000 0.000 0.744
Fe1 Fe 0.000 0.000 0.366
# Uncorrected energy ... -6.42 eV per atom
# E_form ... 14.5 kJ/mol of atoms

---

11.
# ErTmTeSe (PBE, optimized geometry)
data_ErTmTeSe
_space_group_name_H-M_alt 'R 3 m'
_space_group_IT_number 160
_space_group_name_Hall 'R 3 -2"'
_cell_length_a 4.0407
_cell_length_b 4.0407
_cell_length_c 21.7182
_cell_angle_alpha 90.00
_cell_angle_beta 90.00
_cell_angle_gamma 120.00
loop_
_atom_site_label
_atom_site_type_symbol
_atom_site_fract_x
_atom_site_fract_y
_atom_site_fract_z
Er1 Er 0.0000 0.0000 0.0000
Tm1 Tm 0.0000 0.0000 0.1870
Te1 Te 0.0000 0.0000 0.4264
Se1 Se 0.0000 0.0000 0.5950
# Uncorrected energy ... -5.40 eV per atom
# Uncorrected formation energy ... -1.4866 eV/atom

---

12.
# Er2PuUP4 (PBE, optimized geometry)
data_Er2PuUP4
_space_group_name_H-M_alt 'P 1 2/m 1'
_space_group_IT_number 10
_cell_length_a 6.860
_cell_length_b 3.958
_cell_length_c 6.864
_cell_angle_alpha 90.00
_cell_angle_beta 109.38
_cell_angle_gamma 90.00
loop_
_space_group_symop_operation_xyz
'x,y,z'
'-x,-y,-z'
'-x,y,-z'
'x,-y,z'
loop_
_atom_site_label
_atom_site_type_symbol
_atom_site_fract_x
_atom_site_fract_y
_atom_site_fract_z
Er1 Er 0.000 0.000 0.000
Er2 Er 0.500 0.500 0.000
Pu1 Pu 0.000 0.500 0.500
U1 U 0.500 0.000 0.500
P1 P 0.252 0.000 0.747
P2 P 0.254 0.500 0.253
# Uncorrected energy ... -8.39 eV per atom
# E_form ... -129.4 kJ/mol of atoms

---

13.
# Tb5TmTh2 (PBE, optimized geometry)
data_Tb5TmTh2
_space_group_name_H-M_alt 'I m m m'
_space_group_IT_number 71
_space_group_name_Hall '-I 2 2'
_cell_length_a 3.512
_cell_length_b 11.176
_cell_length_c 13.199
_cell_angle_alpha 90.00
_cell_angle_beta 90.00
_cell_angle_gamma 90.00
loop_
_atom_site_label
_atom_site_type_symbol
_atom_site_fract_x
_atom_site_fract_y
_atom_site_fract_z
Tb1 Tb 0.000 0.000 0.000
Tb2 Tb 0.000 0.264 0.370
Tm1 Tm 0.000 0.500 0.000
Th1 Th 0.000 0.000 0.258
# Uncorrected energy ... -5.21 eV per atom
# E_form ... 9.7 kJ/mol of atoms

---

14.
# Rb2NaHg8 (PBE, optimized geometry)
data_Rb2NaHg8
_space_group_name_H-M_alt 'C 1 2/m 1'
_space_group_IT_number 12
_cell_length_a 9.169
_cell_length_b 18.420
_cell_length_c 5.383
_cell_angle_alpha 90.00
_cell_angle_beta 124.41
_cell_angle_gamma 90.00
loop_
_space_group_symop_operation_xyz
'x,y,z'
'-x,-y,-z'
'-x,y,-z'
'x,-y,z'
'x+1/2,y+1/2,z'
'-x+1/2,-y+1/2,-z'
'-x+1/2,y+1/2,-z'
'x+1/2,-y+1/2,z'
loop_
_atom_site_label
_atom_site_type_symbol
_atom_site_fract_x
_atom_site_fract_y
_atom_site_fract_z
Rb1 Rb 0.000 0.190 0.000
Na1 Na 0.000 0.500 0.500
Hg1 Hg 0.000 0.327 0.500
Hg2 Hg 0.096 0.000 0.335
Hg3 Hg 0.211 0.380 0.201
# Uncorrected energy ... -0.70 eV per atom
# E_form ... -17.7 kJ/mol of atoms

---

15.
# CdCo2Tc (PBE, optimized geometry)
data_CdCo2Tc
_space_group_name_H-M_alt 'I m m m'
_space_group_IT_number 71
_space_group_name_Hall '-I 2 2'
_cell_length_a 2.979
_cell_length_b 4.570
_cell_length_c 8.538
_cell_angle_alpha 90.00
_cell_angle_beta 90.00
_cell_angle_gamma 90.00
loop_
_atom_site_label
_atom_site_type_symbol
_atom_site_fract_x
_atom_site_fract_y
_atom_site_fract_z
Cd1 Cd 0.000 0.000 0.000
Co1 Co 0.000 0.500 0.234
Tc1 Tc 0.000 0.000 0.500
# Uncorrected energy ... -5.86 eV per atom
# E_form ... 49.9 kJ/mol of atoms

---

16.
# Pr3Cu2Rh (PBE, optimized geometry)
data_Pr3Cu2Rh
_space_group_name_H-M_alt 'P n m a'
_space_group_IT_number 62
_cell_length_a 11.908
_cell_length_b 4.243
_cell_length_c 11.872
_cell_angle_alpha 90.00
_cell_angle_beta 90.00
_cell_angle_gamma 90.00
loop_
_space_group_symop_operation_xyz
'x,y,z'
'-x,-y,-z'
'-x+1/2,-y,z+1/2'
'x+1/2,y,-z+1/2'
'x+1/2,-y+1/2,-z+1/2'
'-x+1/2,y+1/2,z+1/2'
'-x,y+1/2,-z'
'x,-y+1/2,z'
loop_
_atom_site_label
_atom_site_type_symbol
_atom_site_fract_x
_atom_site_fract_y
_atom_site_fract_z
Pr1 Pr 0.050 0.250 0.124
Pr2 Pr 0.120 0.750 0.554
Pr3 Pr 0.224 0.250 0.796
Cu1 Cu 0.013 0.750 0.308
Cu2 Cu 0.194 0.750 0.995
Rh1 Rh 0.122 0.250 0.368
# Uncorrected energy ... -5.28 eV per atom
# E_form ... -29.3 kJ/mol of atoms

---

17.
# Nd2CrSi3Pt12 (PBE, optimized geometry)
data_Nd2CrSi3Pt12
_space_group_name_H-M_alt 'R -3 m'
_space_group_IT_number 166
_space_group_name_Hall '-R 3 2"'
_cell_length_a 8.2266
_cell_length_b 8.2266
_cell_length_c 18.2075
_cell_angle_alpha 90.00
_cell_angle_beta 90.00
_cell_angle_gamma 120.00
loop_
_atom_site_label
_atom_site_type_symbol
_atom_site_fract_x
_atom_site_fract_y
_atom_site_fract_z
Nd1 Nd 0.0000 0.0000 0.1109
Cr1 Cr 0.0000 0.0000 0.5000
Si1 Si 0.0000 0.5000 0.0000
Pt1 Pt 0.0023 0.5011 0.8720
Pt2 Pt 0.0296 0.5148 0.3688
# Uncorrected energy ... -6.44 eV per atom
# Uncorrected formation energy ... -0.4483 eV/atom

---

18.
# TbScInOs (PBE, optimized geometry)
data_TbScInOs
_space_group_name_H-M_alt 'P 4 m m'
_space_group_IT_number 99
_cell_length_a 3.314
_cell_length_b 3.314
_cell_length_c 7.973
_cell_angle_alpha 90.00
_cell_angle_beta 90.00
_cell_angle_gamma 90.00
loop_
_space_group_symop_operation_xyz
'x,y,z'
'-y,x,z'
'-x,-y,z'
'y,-x,z'
'-x,y,z'
'y,x,z'
'x,-y,z'
'-y,-x,z'
loop_
_atom_site_label
_atom_site_type_symbol
_atom_site_fract_x
_atom_site_fract_y
_atom_site_fract_z
Tb1 Tb 0.000 0.000 0.000
Sc1 Sc 0.000 0.000 0.594
In1 In 0.500 0.500 0.318
Os1 Os 0.500 0.500 0.776
# Uncorrected energy ... -6.65 eV per atom
# E_form ... -40.3 kJ/mol of atoms

---

19.
# LiTaNbS2 (PBE, optimized geometry)
data_LiTaNbS2
_space_group_name_H-M_alt 'P 4/m m m'
_space_group_IT_number 123
_space_group_name_Hall '-P 4 2'
_cell_length_a 4.282
_cell_length_b 4.282
_cell_length_c 4.266
_cell_angle_alpha 90.00
_cell_angle_beta 90.00
_cell_angle_gamma 90.00
loop_
_atom_site_label
_atom_site_type_symbol
_atom_site_fract_x
_atom_site_fract_y
_atom_site_fract_z
Li1 Li 0.000 0.000 0.000
Ta1 Ta 0.000 0.000 0.500
Nb1 Nb 0.500 0.500 0.500
S1 S 0.000 0.500 0.000
# Uncorrected energy ... -5.73 eV per atom
# Uncorrected formation energy ... 0.6883 eV/atom

---

20.
# BeVZnCo (PBE, optimized geometry)
data_BeVZnCo
_space_group_name_H-M_alt 'F -4 3 m'
_space_group_IT_number 216
_space_group_name_Hall 'F -4 2 3'
_cell_length_a 5.639
_cell_length_b 5.639
_cell_length_c 5.639
_cell_angle_alpha 90.00
_cell_angle_beta 90.00
_cell_angle_gamma 90.00
loop_
_atom_site_label
_atom_site_type_symbol
_atom_site_fract_x
_atom_site_fract_y
_atom_site_fract_z
Be1 Be 0.000 0.000 0.000
V1 V 0.250 0.250 0.250
Zn1 Zn 0.250 0.250 0.750
Co1 Co 0.000 0.000 0.500
# Uncorrected energy ... -5.43 eV per atom
# E_form ... -11.9 kJ/mol of atoms

---

21.
# OsPdO4 (PBE, optimized geometry)
data_OsPdO4
_space_group_name_H-M_alt 'P n c 2'
_space_group_IT_number 30
_cell_length_a 5.264
_cell_length_b 4.500
_cell_length_c 5.748
_cell_angle_alpha 90.00
_cell_angle_beta 90.00
_cell_angle_gamma 90.00
loop_
_space_group_symop_operation_xyz
'x,y,z'
'-x,-y,z'
'-x,y+1/2,z+1/2'
'x,-y+1/2,z+1/2'
loop_
_atom_site_label
_atom_site_type_symbol
_atom_site_fract_x
_atom_site_fract_y
_atom_site_fract_z
Os1 Os 0.000 0.000 0.000
Pd1 Pd 0.500 0.000 0.689
O1 O 0.150 0.248 0.733
O2 O 0.297 0.730 0.454
# Uncorrected energy ... -6.72 eV per atom
# Uncorrected formation energy ... -0.6755 eV/atom

---

22.
# LiCeTmTl (PBE, optimized geometry)
data_LiCeTmTl
_space_group_name_H-M_alt 'F -4 3 m'
_space_group_IT_number 216
_space_group_name_Hall 'F -4 2 3'
_cell_length_a 7.540
_cell_length_b 7.540
_cell_length_c 7.540
_cell_angle_alpha 90.00
_cell_angle_beta 90.00
_cell_angle_gamma 90.00
loop_
_atom_site_label
_atom_site_type_symbol
_atom_site_fract_x
_atom_site_fract_y
_atom_site_fract_z
Li1 Li 0.000 0.000 0.000
Ce1 Ce 0.250 0.250 0.750
Tm1 Tm 0.250 0.250 0.250
Tl1 Tl 0.000 0.000 0.500
# Uncorrected energy ... -3.74 eV per atom
# E_form ... -6.7 kJ/mol of atoms

---

23.
# LiPr2Te3 (PBE, optimized geometry)
data_LiPr2Te3
_space_group_name_H-M_alt 'I m m m'
_space_group_IT_number 71
_space_group_name_Hall '-I 2 2'
_cell_length_a 4.167
_cell_length_b 5.051
_cell_length_c 17.623
_cell_angle_alpha 90.00
_cell_angle_beta 90.00
_cell_angle_gamma 90.00
loop_
_atom_site_label
_atom_site_type_symbol
_atom_site_fract_x
_atom_site_fract_y
_atom_site_fract_z
Li1 Li 0.000 0.000 0.000
Pr1 Pr 0.000 0.000 0.359
Te1 Te 0.000 0.000 0.174
Te2 Te 0.000 0.500 0.000
# Uncorrected energy ... -4.77 eV per atom
# Uncorrected formation energy ... -1.2828 eV/atom

---

24.
# Li3Cd7Au2 (PBE, optimized geometry)
data_Li3Cd7Au2
_space_group_name_H-M_alt 'C m m m'
_space_group_IT_number 65
_space_group_name_Hall '-C 2 2'
_cell_length_a 4.384
_cell_length_b 28.171
_cell_length_c 4.099
_cell_angle_alpha 90.00
_cell_angle_beta 90.00
_cell_angle_gamma 90.00
loop_
_atom_site_label
_atom_site_type_symbol
_atom_site_fract_x
_atom_site_fract_y
_atom_site_fract_z
Li1 Li 0.000 0.000 0.000
Li2 Li 0.000 0.151 0.000
Cd1 Cd 0.000 0.080 0.500
Cd2 Cd 0.000 0.219 0.500
Cd3 Cd 0.000 0.420 0.000
Cd4 Cd 0.000 0.500 0.500
Au1 Au 0.000 0.345 0.500
# Uncorrected energy ... -1.72 eV per atom
# E_form ... -15.5 kJ/mol of atoms

---

25.
# PmBeAs2 (PBE, optimized geometry)
data_PmBeAs2
_space_group_name_H-M_alt 'R -3 m'
_space_group_IT_number 166
_space_group_name_Hall '-R 3 2"'
_cell_length_a 4.2913
_cell_length_b 4.2913
_cell_length_c 22.3960
_cell_angle_alpha 90.00
_cell_angle_beta 90.00
_cell_angle_gamma 120.00
loop_
_atom_site_label
_atom_site_type_symbol
_atom_site_fract_x
_atom_site_fract_y
_atom_site_fract_z
Pm1 Pm 0.0000 0.0000 0.0000
Be1 Be 0.0000 0.0000 0.5000
As1 As 0.0000 0.0000 0.4071
# Uncorrected energy ... -4.69 eV per atom
# E_form ... -24.1 kJ/mol of atoms